(1)
LaHg2Te: relaxed, PBE.

Cell lengths 4.1534, 4.1548, 6.6712 Å; angles 90.00, 90.00, 90.00 degrees
With the nearest neighbours (Å) after each atom.
Fractional coordinates of all 4 atoms:
Hg  0.0000  0.0000  0.9898  2 Hg 3.20-3.47, 4 Te 3.34, 4 La 3.41
Hg  0.0000  0.0000  0.5102  2 Hg 3.20-3.47, 4 Te 3.34, 4 La 3.41
La  0.5000  0.5000  0.2500  2 Te 3.34, 8 Hg 3.41
Te  0.5000  0.5000  0.7500  2 La 3.34, 8 Hg 3.34

(2)
LaHg2Te: relaxed, PBE.

Cell lengths 5.8512, 5.8512, 4.9381 Å; angles 65.04, 65.04, 49.95 degrees
With the nearest neighbours (Å) after each atom.
Fractional coordinates of all 4 atoms:
Hg  0.0002  0.0002  0.0001  4 Te 3.40-3.41, 4 Hg 3.41, 4 La 3.49
Hg  0.7500  0.7500  0.7498  4 Hg 3.41, 4 La 3.41, 4 Te 3.49
La  0.4999  0.4999  0.5003  4 Te 3.41, 8 Hg 3.41-3.49
Te  0.2499  0.2499  0.2499  8 Hg 3.40-3.49, 4 La 3.41

(3)
La4HgTe3: relaxed, PBE.

Cell lengths 4.4928, 7.9853, 7.9853 Å; angles 108.60, 90.00, 90.00 degrees
With the nearest neighbours (Å) after each atom.
Fractional coordinates of all 8 atoms:
Te  0.0000  0.0000  0.5000  6 La 3.24
Te  0.5000  0.5000  0.5000  6 La 3.27
Te  0.0000  0.5000  0.0000  6 La 3.24
Hg  0.5000  0.0000  0.0000  6 La 3.21-3.22
La  0.0000  0.2454  0.2454  2 Hg 3.21, 4 Te 3.24-3.27
La  0.5000  0.7518  0.2482  1 Hg 3.22, 5 Te 3.24-3.27
La  0.0000  0.7546  0.7546  2 Hg 3.21, 4 Te 3.24-3.27
La  0.5000  0.2482  0.7518  1 Hg 3.22, 5 Te 3.24-3.27

(4)
La2HgTe: relaxed, PBE.

Cell lengths 4.5641, 4.5641, 6.5123 Å; angles 90.00, 90.00, 90.00 degrees
With the nearest neighbours (Å) after each atom.
Fractional coordinates of all 4 atoms:
Te  0.0000  0.0000  0.3756  6 La 3.23-3.26
Hg  0.5000  0.5000  0.8742  6 La 3.23-3.26
La  0.0000  0.0000  0.8756  4 Hg 3.23, 2 Te 3.26
La  0.5000  0.5000  0.3746  4 Te 3.23, 2 Hg 3.25-3.26

(5)
La2HgTe2: relaxed, PBE.

Cell lengths 8.8693, 8.8693, 4.0687 Å; angles 90.00, 90.00, 90.00 degrees
With the nearest neighbours (Å) after each atom.
Fractional coordinates of all 10 atoms:
Te  0.3592  0.8592  0.0000  6 La 3.26-3.33, 2 Hg 3.42, 1 Te 3.53
Te  0.8592  0.6408  0.0000  6 La 3.26-3.33, 2 Hg 3.42, 1 Te 3.53
Te  0.6408  0.1408  0.0000  6 La 3.26-3.33, 2 Hg 3.42, 1 Te 3.53
Te  0.1408  0.3592  0.0000  6 La 3.26-3.33, 2 Hg 3.42, 1 Te 3.53
Hg  0.0000  0.0000  0.0000  4 Te 3.42
Hg  0.5000  0.5000  0.0000  4 Te 3.42
La  0.1563  0.6563  0.5000  6 Te 3.26-3.33
La  0.6563  0.8437  0.5000  6 Te 3.26-3.33
La  0.8437  0.3437  0.5000  6 Te 3.26-3.33
La  0.3437  0.1563  0.5000  6 Te 3.26-3.33

(6)
LaHg2Te: relaxed, PBE.

Cell lengths 5.8300, 5.8300, 5.8300 Å; angles 53.37, 53.37, 53.37 degrees
With the nearest neighbours (Å) after each atom.
Fractional coordinates of all 4 atoms:
Hg  0.9724  0.9724  0.9724  3 Hg 3.09, 4 Te 3.39-3.42
Hg  0.2638  0.2638  0.2638  3 Hg 3.09, 3 La 3.25
La  0.5180  0.5180  0.5180  6 Hg 3.25-3.52, 4 Te 3.40-3.41
Te  0.7457  0.7457  0.7457  7 Hg 3.39-3.75, 4 La 3.40-3.41

| no. | DFT total energy (eV per atom) | formation energy from raw total energies (eV/atom) | magnetization (Bohr magnetons per cell) |
| --- | --- | --- | --- |
| 1 | -2.65 | -0.486 | 0.5 |
| 2 | -2.83 | -0.662 | 0.0 |
| 3 | -4.99 | -1.306 | 0.0 |
| 4 | -4.31 | -0.983 | 0.0 |
| 5 | -4.41 | -1.127 | 0.0 |
| 6 | -2.79 | -0.624 | 0.0 |